Compound: Ba3CaOs2O9
Source: Alexandria via LeMat-Bulk
Functional: GGA-PBE
Structure: optimized geometry

Cell: 5.8760 5.8760 7.2030 Å, 90.00 90.00 120.00°
Space group P-3m1 (No. 164)
Asymmetric unit:
Ba 0.0000 0.0000 0.0000 [1 per cell]
Ba 0.3333 0.6667 0.6565 [2 per cell]
Ca 0.0000 0.0000 0.5000 [1 per cell]
Os 0.3333 0.6667 0.1506 [2 per cell]
O 0.0000 0.5000 0.0000 [3 per cell]
O 0.1795 0.3590 0.3118 [6 per cell]

Results
Formation energy without anion corrections   -2.089 eV/atom



Compound: BaCa2PO
Source: Alexandria via LeMat-Bulk
Functional: GGA-PBE
Structure: optimized geometry

Cell: 4.7153 4.7153 5.5378 Å, 90.00 90.00 90.00°
Space group P4/mmm (No. 123)
Asymmetric unit:
Ba 0.0000 0.0000 0.0000 [1 per cell]
Ca 0.0000 0.5000 0.5000 [2 per cell]
P 0.5000 0.5000 0.0000 [1 per cell]
O 0.0000 0.0000 0.5000 [1 per cell]

Results
Formation energy without anion corrections   -1.410 eV/atom



Compound: BaCaPO4
Source: Alexandria via LeMat-Bulk
Functional: GGA-PBE
Structure: optimized geometry

Cell: 8.5601 8.5601 8.5601 Å, 90.00 90.00 90.00°
Space group F-43m (No. 216)
Asymmetric unit:
Ba 0.0000 0.0000 0.0000 [4 per cell]
Ca 0.2500 0.2500 0.2500 [4 per cell]
P 0.0000 0.0000 0.5000 [4 per cell]
O 0.1048 0.1048 0.3952 [16 per cell]

Results
Formation energy without anion corrections   -2.309 eV/atom



Question: Which value of formation energy without anion corrections does entry 3 give?
Answer: -2.309 eV/atom